ZnNiTe2O8 PBE with a Hubbard U relaxed; total DFT energy (no corrections) = -4.773 eV/atom
1.0
-3.401 3.401 3.399
3.401 -3.401 3.399
3.401 3.401 -3.399
Zn Ni Te O
1 1 2 8
Direct
0.000 0.000 0.000 Zn
0.250 0.750 0.500 Ni
0.500 0.500 0.000 Te
0.750 0.250 0.500 Te
0.321 0.116 0.796 O
0.321 0.525 0.204 O
0.366 0.070 0.296 O
0.475 0.679 0.796 O
0.774 0.070 0.704 O
0.884 0.679 0.204 O
0.930 0.226 0.296 O
0.930 0.634 0.704 O

---

Zn2NiTeO6 PBE with a Hubbard U relaxed; total DFT energy (no corrections) = -4.972 eV/atom
1.0
5.146 -4.349 0.000
5.146 4.349 0.000
-1.899 0.000 5.079
Zn Ni Te O
4 2 2 12
Direct
0.108 0.296 0.358 Zn
0.296 0.108 0.858 Zn
0.704 0.892 0.142 Zn
0.892 0.704 0.642 Zn
0.414 0.586 0.750 Ni
0.586 0.414 0.250 Ni
0.244 0.756 0.250 Te
0.756 0.244 0.750 Te
0.029 0.202 0.973 O
0.137 0.614 0.467 O
0.202 0.029 0.473 O
0.301 0.488 0.013 O
0.386 0.863 0.033 O
0.488 0.301 0.513 O
0.512 0.699 0.487 O
0.614 0.137 0.967 O
0.699 0.512 0.987 O
0.798 0.971 0.527 O
0.863 0.386 0.533 O
0.971 0.798 0.027 O

---

ZnNiTe3O8 PBE with a Hubbard U relaxed; total DFT energy (no corrections) = -5.202 eV/atom
1.0
6.329 -2.652 0.000
6.329 2.652 0.000
-1.799 0.000 11.659
Zn Ni Te O
2 2 6 16
Direct
0.230 0.230 0.096 Zn
0.770 0.770 0.904 Zn
0.153 0.379 0.396 Ni
0.621 0.847 0.604 Ni
0.034 0.966 0.500 Te
0.146 0.125 0.800 Te
0.248 0.476 0.690 Te
0.348 0.652 0.000 Te
0.524 0.752 0.310 Te
0.875 0.854 0.200 Te
0.038 0.361 0.937 O
0.044 0.795 0.894 O
0.174 0.054 0.385 O
0.178 0.659 0.395 O
0.205 0.956 0.106 O
0.211 0.560 0.114 O
0.341 0.822 0.605 O
0.361 0.245 0.552 O
0.440 0.789 0.886 O
0.459 0.069 0.774 O
0.488 0.052 0.288 O
0.639 0.962 0.063 O
0.755 0.639 0.448 O
0.931 0.541 0.226 O
0.946 0.826 0.615 O
0.948 0.512 0.712 O

---

ZnNiTe2O6 PBE with a Hubbard U relaxed; total DFT energy (no corrections) = -5.001 eV/atom
1.0
4.686 -5.346 0.000
4.686 5.346 0.000
-0.533 0.000 5.115
Zn Ni Te O
2 2 4 12
Direct
0.232 0.768 0.750 Zn
0.768 0.232 0.250 Zn
0.076 0.924 0.250 Ni
0.924 0.076 0.750 Ni
0.196 0.439 0.296 Te
0.439 0.196 0.796 Te
0.561 0.804 0.204 Te
0.804 0.561 0.704 Te
0.039 0.206 0.115 O
0.059 0.655 0.394 O
0.206 0.039 0.615 O
0.278 0.542 0.982 O
0.345 0.941 0.106 O
0.458 0.722 0.518 O
0.542 0.278 0.482 O
0.655 0.059 0.894 O
0.722 0.458 0.018 O
0.794 0.961 0.385 O
0.941 0.345 0.606 O
0.961 0.794 0.885 O

---

ZnNi2TeO6 PBE with a Hubbard U relaxed; total DFT energy (no corrections) = -5.028 eV/atom
1.0
5.199 0.000 0.000
0.000 5.101 0.000
-5.194 0.000 8.527
Zn Ni Te O
2 4 2 12
Direct
0.000 0.000 0.000 Zn
0.000 0.500 0.500 Zn
0.200 0.001 0.700 Ni
0.200 0.499 0.200 Ni
0.800 0.501 0.800 Ni
0.800 0.999 0.300 Ni
0.500 0.000 0.500 Te
0.500 0.500 0.000 Te
0.174 0.189 0.500 O
0.174 0.311 0.000 O
0.176 0.724 0.843 O
0.176 0.776 0.343 O
0.493 0.721 0.159 O
0.493 0.779 0.659 O
0.507 0.221 0.341 O
0.507 0.279 0.841 O
0.824 0.224 0.657 O
0.824 0.276 0.157 O
0.826 0.689 0.000 O
0.826 0.811 0.500 O

---

ZrNiTeO2 PBE with a Hubbard U relaxed; total DFT energy (no corrections) = -5.125 eV/atom
1.0
4.030 0.000 0.000
0.000 4.030 0.000
0.000 0.000 4.886
Zr Ni Te O
1 1 1 2
Direct
0.000 0.000 0.000 Zr
0.500 0.500 0.500 Ni
0.500 0.500 0.000 Te
0.000 0.500 0.500 O
0.500 0.000 0.500 O

---

ZrNiTeO6 PBE with a Hubbard U relaxed; total DFT energy (no corrections) = -6.559 eV/atom
1.0
5.336 0.000 0.000
-2.668 4.621 0.000
0.000 0.000 8.911
Zr Ni Te O
2 2 2 12
Direct
0.333 0.667 0.250 Zr
0.667 0.333 0.750 Zr
0.000 0.000 0.000 Ni
0.000 0.000 0.500 Ni
0.333 0.667 0.750 Te
0.667 0.333 0.250 Te
0.024 0.360 0.630 O
0.024 0.664 0.870 O
0.336 0.360 0.870 O
0.336 0.976 0.630 O
0.360 0.024 0.130 O
0.360 0.336 0.370 O
0.640 0.664 0.630 O
0.640 0.976 0.870 O
0.664 0.024 0.370 O
0.664 0.640 0.130 O
0.976 0.336 0.130 O
0.976 0.640 0.370 O

---

ZrNiTe2O8 PBE with a Hubbard U relaxed; total DFT energy (no corrections) = -6.039 eV/atom
1.0
6.120 0.000 0.000
-3.060 5.300 0.000
0.000 0.000 5.732
Zr Ni Te O
1 1 2 8
Direct
0.000 0.000 0.000 Zr
0.000 0.000 0.500 Ni
0.333 0.667 0.694 Te
0.667 0.333 0.306 Te
0.147 0.294 0.750 O
0.147 0.853 0.750 O
0.294 0.147 0.250 O
0.333 0.667 0.379 O
0.667 0.333 0.621 O
0.706 0.853 0.750 O
0.853 0.147 0.250 O
0.853 0.706 0.250 O